The following is a DFT calculation (GGA-PBE) of a relaxed CeNd3Th4Se8 crystal.

Calculated values
The crystal system is trigonal. Its total energy is -6.548 eV per atom. The value obtained for the total magnetization is 0.87 μB/f.u.

Lattice parameters (Å, degrees): 8.342 8.502 8.341 119.38 120.00 90.00
Last column: magnetic moment on the atom in μB.
Fractional positions:
Th: 0.500 0.000 0.500  0.01
Th: 0.000 0.000 0.000  0.01
Th: 0.000 0.000 0.500  0.01
Th: 0.500 0.000 0.000  0.00
Se: 0.750 0.749 0.499  0.00
Se: 0.249 0.748 0.999  0.00
Se: 0.750 0.748 0.999  0.00
Se: 0.250 0.252 0.001  0.00
Se: 0.250 0.251 0.501  0.00
Se: 0.249 0.748 0.498  0.00
Se: 0.751 0.252 0.001  0.00
Se: 0.751 0.252 0.502  0.00
Nd: 0.500 0.500 0.500  0.01
Nd: 0.500 0.500 0.000  0.01
Nd: 0.000 0.500 0.500  0.01
Ce: 0.000 0.500 0.000  0.72